TaFeRu2O: optimized geometry, PBE with a Hubbard U.

Computed properties:
- raw total energy (eV/atom) = -6.085
- total magnetization (μB/atom) = 0.41

The structure in CIF format:
```
data_TaFeRu2O
_symmetry_space_group_name_H-M 'P 1'
_symmetry_Int_Tables_number 1
_symmetry_space_group_name_Hall 'P 1'
_cell_length_a 4.3191
_cell_length_b 4.5642
_cell_length_c 4.3191
_cell_angle_alpha 90.00
_cell_angle_beta 90.00
_cell_angle_gamma 90.00
loop_
_atom_site_label
_atom_site_type_symbol
_atom_site_fract_x
_atom_site_fract_y
_atom_site_fract_z
Fe1 Fe 0.0000 0.0000 0.0000
O1 O 0.5000 0.5000 0.5000
Ru1 Ru 0.0000 0.0000 0.5000
Ta1 Ta 0.0000 0.5000 0.0000
Ru2 Ru 0.5000 0.0000 0.0000
```